# Y6HoSc5

A geometry-optimized Y6HoSc5 structure (GGA-PBE, the Alexandria database).

Lattice parameters (Å, degrees): 5.9781 5.9781 11.3278 95.04 95.04 119.96
Element x y z (fractional)
1 Y 0.0810 0.4161 0.7467
2 Y 0.2489 0.2489 0.2536
3 Y 0.4161 0.0810 0.7467
4 Y 0.5839 0.9190 0.2533
5 Y 0.7511 0.7511 0.7464
6 Y 0.9190 0.5839 0.2533
7 Ho 0.5000 0.5000 0.0000
8 Sc 0.0000 0.0000 0.5000
9 Sc 0.1665 0.8335 0.0000
10 Sc 0.3331 0.6669 0.5000
11 Sc 0.6669 0.3331 0.5000
12 Sc 0.8335 0.1665 0.0000

Results
Calculated volume in Å³ per cell: 345
Density of states at the Fermi level in states/eV/cell: 19.743
Energy in eV/atom: -6.18

# TeWSe2

A geometry-optimized TeWSe2 structure (GGA-PBE, the Alexandria database).

Lattice parameters (Å, degrees): 7.2568 7.2568 7.2568 154.97 143.61 44.68
Element x y z (fractional)
1 Te 0.0000 0.0000 0.0000
2 W 0.1838 0.6838 0.5000
3 Se 0.3281 0.3281 0.0000
4 Se 0.6451 0.1451 0.5000

Results
Calculated volume in Å³ per cell: 96
Density of states at the Fermi level in states/eV/cell: 2.827
Energy in eV/atom: -5.52

# Ac3PrEr3Se8

A geometry-optimized Ac3PrEr3Se8 structure (GGA-PBE, the Alexandria database).

Lattice parameters (Å, degrees): 8.5903 8.5903 8.5903 58.28 58.28 58.28
Element x y z (fractional)
1 Ac 0.0000 0.5000 0.5000
2 Ac 0.5000 0.0000 0.5000
3 Ac 0.5000 0.5000 0.0000
4 Pr 0.5000 0.5000 0.5000
5 Er 0.0000 0.0000 0.5000
6 Er 0.0000 0.5000 0.0000
7 Er 0.5000 0.0000 0.0000
8 Se 0.2249 0.7536 0.7536
9 Se 0.2395 0.2395 0.2395
10 Se 0.2464 0.2464 0.7751
11 Se 0.2464 0.7751 0.2464
12 Se 0.7536 0.2249 0.7536
13 Se 0.7536 0.7536 0.2249
14 Se 0.7605 0.7605 0.7605
15 Se 0.7751 0.2464 0.2464

Results
Calculated volume in Å³ per cell: 431
Density of states at the Fermi level in states/eV/cell: 7.235
Energy in eV/atom: -5.75

# In2GaCCl

A geometry-optimized In2GaCCl structure (GGA-PBE, the Alexandria database).

Lattice parameters (Å, degrees): 4.4227 4.4227 8.5913 90.00 90.00 90.00
Element x y z (fractional)
1 In 0.0000 0.5000 0.0000
2 In 0.5000 0.0000 0.0000
3 Ga 0.0000 0.0000 0.5000
4 C 0.5000 0.5000 0.0000
5 Cl 0.5000 0.5000 0.5000

Results
Calculated volume in Å³ per cell: 168
Density of states at the Fermi level in states/eV/cell: 1.025
Energy in eV/atom: -3.22

# NaSrCa2Tl

A geometry-optimized NaSrCa2Tl structure (GGA-PBE, the Alexandria database).

Lattice parameters (Å, degrees): 6.0953 6.0953 6.4347 90.00 90.00 90.00
Element x y z (fractional)
1 Na 0.0000 0.0000 0.0000
2 Sr 0.5000 0.5000 0.0000
3 Ca 0.0000 0.5000 0.5000
4 Ca 0.5000 0.0000 0.5000
5 Tl 0.5000 0.5000 0.5000

Results
Calculated volume in Å³ per cell: 239
Density of states at the Fermi level in states/eV/cell: 3.020
ΔE to the lowest computed polymorph in kcal/mol of atoms: 0.00

# CuI2NCl

A geometry-optimized CuI2NCl structure (GGA-PBE, the Alexandria database).

Lattice parameters (Å, degrees): 6.8808 6.8808 3.2925 90.00 90.00 90.00
Element x y z (fractional)
1 Cu 0.0000 0.0000 0.0000
2 I 0.0000 0.5000 0.5000
3 I 0.5000 0.0000 0.5000
4 N 0.5000 0.5000 0.0000
5 Cl 0.5000 0.5000 0.5000

Results
Calculated volume in Å³ per cell: 156
Density of states at the Fermi level in states/eV/cell: 1.247
ΔE to the lowest computed polymorph in kcal/mol of atoms: 10.74

# SiNiTe2

A geometry-optimized SiNiTe2 structure (GGA-PBE, the Alexandria database).

Lattice parameters (Å, degrees): 4.8994 4.8994 4.8994 60.00 60.00 60.00
Element x y z (fractional)
1 Si 0.0000 0.0000 0.0000
2 Ni 0.7500 0.7500 0.7500
3 Te 0.2500 0.2500 0.2500
4 Te 0.5000 0.5000 0.5000

Results
Calculated volume in Å³ per cell: 83
Density of states at the Fermi level in states/eV/cell: 2.972
Energy in eV/atom: -3.66

# AlMo2P2

A geometry-optimized AlMo2P2 structure (GGA-PBE, the Alexandria database).

Lattice parameters (Å, degrees): 5.0511 5.0511 5.0511 127.68 127.68 77.15
Element x y z (fractional)
1 Al 0.0000 0.0000 0.0000
2 Mo 0.2500 0.7500 0.5000
3 Mo 0.7500 0.2500 0.5000
4 P 0.3648 0.3648 0.0000
5 P 0.6352 0.6352 0.0000

Results
Calculated volume in Å³ per cell: 78
Density of states at the Fermi level in states/eV/cell: 3.889
ΔE to the lowest computed polymorph in kcal/mol of atoms: 0.00

# NaSi2Ru

A geometry-optimized NaSi2Ru structure (GGA-PBE, the Alexandria database).

Lattice parameters (Å, degrees): 8.1726 8.1726 8.1726 142.16 142.16 54.59
Element x y z (fractional)
1 Na 0.3750 0.6250 0.7500
2 Na 0.6250 0.3750 0.2500
3 Si 0.0000 0.0000 0.0000
4 Si 0.0000 0.0000 0.5000
5 Si 0.0000 0.5000 0.0000
6 Si 0.5000 0.0000 0.5000
7 Ru 0.1250 0.8750 0.2500
8 Ru 0.8750 0.1250 0.7500

Results
Calculated volume in Å³ per cell: 204
Density of states at the Fermi level in states/eV/cell: 6.216
ΔE to the lowest computed polymorph in kcal/mol of atoms: 0.00

# Li2YW

A geometry-optimized Li2YW structure (GGA-PBE, the Alexandria database).

Lattice parameters (Å, degrees): 2.7594 4.6971 6.0796 90.00 102.72 90.00
Element x y z (fractional)
1 Li 0.0000 0.0000 0.0000
2 Li 0.0541 0.5000 0.2306
3 Y 0.3326 0.5000 0.7054
4 W 0.7042 0.0000 0.4550

Results
Calculated volume in Å³ per cell: 77
Density of states at the Fermi level in states/eV/cell: 3.153
ΔE to the lowest computed polymorph in kcal/mol of atoms: 2.78

# Th5Re2Au2

A geometry-optimized Th5Re2Au2 structure (GGA-PBE, the Alexandria database).

Lattice parameters (Å, degrees): 8.6331 8.6331 7.8786 90.00 90.00 54.42
Element x y z (fractional)
1 Th 0.0000 0.0000 0.0000
2 Th 0.0428 0.7080 0.6633
3 Th 0.2080 0.5428 0.1633
4 Th 0.2920 0.9572 0.6633
5 Th 0.4572 0.7920 0.1633
6 Th 0.5000 0.5000 0.5000
7 Th 0.5428 0.2080 0.8367
8 Th 0.7080 0.0428 0.3367
9 Th 0.7920 0.4572 0.8367
10 Th 0.9572 0.2920 0.3367
11 Re 0.1345 0.8655 0.3656
12 Re 0.3655 0.6345 0.8656
13 Re 0.6345 0.3655 0.1344
14 Re 0.8655 0.1345 0.6344
15 Au 0.2111 0.2111 0.0000
16 Au 0.2889 0.2889 0.5000
17 Au 0.7111 0.7111 0.5000
18 Au 0.7889 0.7889 0.0000

Results
Calculated volume in Å³ per cell: 478
Density of states at the Fermi level in states/eV/cell: 19.980
Energy in eV/atom: -7.93

# CeInTcH6

A geometry-optimized CeInTcH6 structure (GGA-PBE, the Alexandria database).

Lattice parameters (Å, degrees): 4.7496 4.7496 4.6185 90.00 90.00 120.00
Element x y z (fractional)
1 Ce 0.0000 0.0000 0.0000
2 In 0.3333 0.6667 0.5000
3 Tc 0.6667 0.3333 0.5000
4 H 0.5250 0.4725 0.2091
5 H 0.5250 0.4725 0.7909
6 H 0.5275 0.0525 0.2091
7 H 0.5275 0.0525 0.7909
8 H 0.9475 0.4750 0.2091
9 H 0.9475 0.4750 0.7909

Results
Calculated volume in Å³ per cell: 90
Density of states at the Fermi level in states/eV/cell: 6.517
Energy in eV/atom: -4.47